A plane-wave DFT calculation with PBE was carried out for PaNbGe after structural relaxation.

Values from the calculation:
Distance to the lowest polymorph of the same formula, eV per atom: 0.0000
Spin magnetization, μB/f.u.: 0.0
ΔH_f (0 K), meV per atom: -384
Electronic total energy, eV/atom: -8.45
D(E_F), states/eV/f.u.: 4.0

Lattice parameters (Å, degrees): 8.092 8.092 8.092 150.61 150.61 42.05
Atoms (fractional coordinates):
1 Pa 0.170 0.170 0.000
2 Pa 0.830 0.830 0.000
3 Nb 0.000 0.500 0.500
4 Nb 0.500 0.000 0.500
5 Ge 0.371 0.371 0.000
6 Ge 0.629 0.629 0.000